No. 1
Pm8Rh2Au (PBE-GGA, relaxed); calculated total energy = -0.200 hartree per atom; DOS at the Fermi energy = 12.6 states/eV/f.u.; energy of formation from the pure elements = -3.74 eV/f.u.; magnetic moment = 0.0 μB per formula unit
1.0
-1.047 -6.060 -1.043
5.150 1.391 -5.610
3.166 -0.447 7.051
Pm Au Rh
8 1 2
direct
0.374 0.657 0.924
0.590 0.083 0.347
0.374 0.924 0.657
0.590 0.347 0.083
0.984 0.220 0.777
0.984 0.777 0.220
0.796 0.641 0.641
0.177 0.374 0.374
0.157 0.006 0.006
0.487 0.692 0.314
0.487 0.314 0.692



No. 2
Pm12RhAu6 (PBE-GGA, relaxed); calculated total energy = -0.180 hartree per atom; DOS at the Fermi energy = 22.4 states/eV/f.u.; energy of formation from the pure elements = -8.84 eV/f.u.; magnetic moment = 0.0 μB per formula unit
1.0
-3.211 -5.022 -6.132
7.015 2.688 -4.087
3.590 -6.050 4.863
Au Pm Rh
6 12 1
direct
0.131 0.625 0.305
0.695 0.869 0.375
0.625 0.305 0.131
0.375 0.695 0.869
0.305 0.131 0.625
0.869 0.375 0.695
0.426 0.577 0.183
0.318 0.067 0.962
0.574 0.423 0.817
0.038 0.682 0.933
0.183 0.426 0.577
0.933 0.038 0.682
0.577 0.183 0.426
0.423 0.817 0.574
0.067 0.962 0.318
0.817 0.574 0.423
0.962 0.318 0.067
0.682 0.933 0.038
0.000 0.000 0.000



No. 3
Pm5Rh2Au5 (PBE-GGA, relaxed); calculated total energy = -0.195 hartree per atom; DOS at the Fermi energy = 7.9 states/eV/f.u.; energy of formation from the pure elements = -8.90 eV/f.u.; magnetic moment = 0.0 μB per formula unit
1.0
-3.908 -0.190 1.236
-4.438 -0.774 -7.345
-1.246 -8.464 1.570
Au Rh Pm
5 2 5
direct
0.717 0.202 0.364
0.283 0.798 0.636
0.060 0.703 0.177
0.940 0.297 0.823
0.000 0.000 0.000
0.622 0.504 0.251
0.378 0.496 0.749
0.297 0.315 0.091
0.378 0.933 0.312
0.622 0.067 0.688
0.703 0.685 0.909
0.000 0.500 0.500



No. 4
Pm5Rh4Au (PBE-GGA, relaxed); calculated total energy = -0.233 hartree per atom; DOS at the Fermi energy = 8.4 states/eV/f.u.; energy of formation from the pure elements = -7.08 eV/f.u.; magnetic moment = 0.0 μB per formula unit
1.0
-1.961 2.693 -1.193
-2.255 -2.295 -1.473
-9.618 -0.285 15.165
Au Pm Rh
1 5 4
direct
0.000 0.000 0.000
0.500 0.500 0.695
0.500 0.500 0.889
0.500 0.500 0.500
0.500 0.500 0.305
0.500 0.500 0.111
0.000 0.000 0.402
0.000 0.000 0.598
0.000 0.000 0.205
0.000 0.000 0.795



No. 5
Pm6RhAu3 (PBE-GGA, relaxed); calculated total energy = -0.189 hartree per atom; DOS at the Fermi energy = 10.9 states/eV/f.u.; energy of formation from the pure elements = -5.77 eV/f.u.; magnetic moment = 0.0 μB per formula unit
1.0
-1.879 6.525 2.701
-6.633 -2.972 2.564
4.331 -1.513 9.451
Pm Au Rh
12 6 2
direct
0.169 0.050 0.751
0.147 0.317 0.080
0.353 0.817 0.420
0.831 0.950 0.249
0.692 0.172 0.932
0.331 0.550 0.749
0.669 0.450 0.251
0.647 0.183 0.580
0.853 0.683 0.920
0.308 0.828 0.068
0.192 0.328 0.432
0.808 0.672 0.568
0.948 0.384 0.728
0.448 0.116 0.228
0.000 0.000 0.500
0.052 0.616 0.272
0.552 0.884 0.772
0.500 0.500 0.000
0.000 0.000 0.000
0.500 0.500 0.500



No. 6
Pm3RhAu2 (PBE-GGA, relaxed); calculated total energy = -0.200 hartree per atom; DOS at the Fermi energy = 4.3 states/eV/f.u.; energy of formation from the pure elements = -4.51 eV/f.u.; magnetic moment = 0.0 μB per formula unit
1.0
-2.080 0.675 2.895
-1.168 -3.434 -0.038
8.245 -2.877 6.595
Pm Au Rh
3 2 1
direct
0.000 0.000 0.000
0.000 0.000 0.655
0.000 0.000 0.345
0.500 0.500 0.172
0.500 0.500 0.828
0.500 0.500 0.500



Which value of energy of formation from the pure elements does entry 1 give?
-3.74 eV/f.u.



Copy entry 3 word for word.
Pm5Rh2Au5 (PBE-GGA, relaxed); calculated total energy = -0.195 hartree per atom; DOS at the Fermi energy = 7.9 states/eV/f.u.; energy of formation from the pure elements = -8.90 eV/f.u.; magnetic moment = 0.0 μB per formula unit
1.0
-3.908 -0.190 1.236
-4.438 -0.774 -7.345
-1.246 -8.464 1.570
Au Rh Pm
5 2 5
direct
0.717 0.202 0.364
0.283 0.798 0.636
0.060 0.703 0.177
0.940 0.297 0.823
0.000 0.000 0.000
0.622 0.504 0.251
0.378 0.496 0.749
0.297 0.315 0.091
0.378 0.933 0.312
0.622 0.067 0.688
0.703 0.685 0.909
0.000 0.500 0.500



What is the formula in the second record?
Pm12RhAu6